1.
Below is crystalline Tb4Pr2Hg at its relaxed geometry, with properties calculated at the PBE-GGA level.

Structure (POSCAR):
```
Tb4Pr2Hg
1.0
17.1409 0.0000 0.0000
0.0000 3.6530 0.0000
-3.7196 0.0000 7.2508
Tb Pr Hg
8 4 2
Direct
0.0574 0.0000 0.2406
0.1398 0.5000 0.9681
0.3602 0.0000 0.0319
0.4426 0.5000 0.7594
0.5574 0.5000 0.2406
0.6398 0.0000 0.9681
0.8602 0.5000 0.0319
0.9426 0.0000 0.7594
0.2148 0.5000 0.6347
0.2852 0.0000 0.3653
0.7148 0.0000 0.6347
0.7852 0.5000 0.3653
0.0000 0.5000 0.5000
0.5000 0.0000 0.5000
```

## Properties
Formation energy from the elements: -0.3 eV per formula unit
VASP energy: -4.10 eV/atom
N(E_F): 1.44 states/eV per atom

=====

2.
Below is crystalline Tb2PrHg5 at its relaxed geometry, with properties calculated at the PBE-GGA level.

Structure (POSCAR):
```
Tb2PrHg5
1.0
5.2795 0.0000 0.0000
0.0000 5.2795 0.0000
0.0000 0.0000 14.7967
Tb Pr Hg
4 2 10
Direct
0.0000 0.0000 0.2321
0.0000 0.0000 0.7679
0.5000 0.5000 0.2679
0.5000 0.5000 0.7321
0.0000 0.0000 0.5000
0.5000 0.5000 0.0000
0.0000 0.0000 0.0000
0.0000 0.5000 0.1283
0.0000 0.5000 0.3717
0.0000 0.5000 0.6283
0.0000 0.5000 0.8717
0.5000 0.0000 0.1283
0.5000 0.0000 0.3717
0.5000 0.0000 0.6283
0.5000 0.0000 0.8717
0.5000 0.5000 0.5000
```

## Properties
Formation energy from the elements: -3.6 eV per formula unit
VASP energy: -2.39 eV/atom
N(E_F): 0.49 states/eV per atom

=====

3.
Below is crystalline TbPrHg2 at its relaxed geometry, with properties calculated at the PBE-GGA level.

Structure (POSCAR):
```
TbPrHg2
1.0
7.6095 0.0000 0.0000
0.0000 7.6095 0.0000
0.0000 0.0000 7.6095
Tb Pr Hg
4 4 8
Direct
0.0000 0.0000 0.0000
0.0000 0.5000 0.5000
0.5000 0.0000 0.5000
0.5000 0.5000 0.0000
0.0000 0.0000 0.5000
0.0000 0.5000 0.0000
0.5000 0.0000 0.0000
0.5000 0.5000 0.5000
0.2500 0.2500 0.2500
0.2500 0.2500 0.7500
0.2500 0.7500 0.2500
0.2500 0.7500 0.7500
0.7500 0.2500 0.2500
0.7500 0.2500 0.7500
0.7500 0.7500 0.2500
0.7500 0.7500 0.7500
```

## Properties
Formation energy from the elements: -1.9 eV per formula unit
VASP energy: -2.97 eV/atom
Distance to the lowest polymorph of the same formula: 0.011 eV per atom
N(E_F): 1.10 states/eV per atom

=====

4.
Below is crystalline Tb3PrHg2 at its relaxed geometry, with properties calculated at the PBE-GGA level.

Structure (POSCAR):
```
Tb3PrHg2
1.0
8.1061 -2.6947 0.0000
8.1061 2.6947 0.0000
-3.7915 0.0000 8.0927
Tb Pr Hg
6 2 4
Direct
0.0637 0.0637 0.2237
0.3060 0.3060 0.4983
0.3814 0.3814 0.9724
0.6186 0.6186 0.0276
0.6940 0.6940 0.5017
0.9363 0.9363 0.7763
0.1324 0.1324 0.6885
0.8676 0.8676 0.3115
0.2246 0.2246 0.1063
0.4905 0.4905 0.3318
0.5095 0.5095 0.6682
0.7754 0.7754 0.8937
```

## Properties
Formation energy from the elements: -1.5 eV per formula unit
VASP energy: -3.47 eV/atom
Distance to the lowest polymorph of the same formula: 0.085 eV per atom
N(E_F): 0.92 states/eV per atom

=====

5.
Below is crystalline TbPr2Hg4 at its relaxed geometry, with properties calculated at the PBE-GGA level.

Structure (POSCAR):
```
TbPr2Hg4
1.0
5.6601 0.0000 0.0000
0.0000 5.6601 0.0000
0.0000 0.0000 15.7844
Tb Pr Hg
2 4 8
Direct
0.0000 0.0000 0.0000
0.5000 0.5000 0.5000
0.0000 0.0000 0.3927
0.0000 0.0000 0.6073
0.5000 0.5000 0.1073
0.5000 0.5000 0.8927
0.0000 0.0000 0.1918
0.0000 0.0000 0.8082
0.0000 0.5000 0.0000
0.0000 0.5000 0.5000
0.5000 0.0000 0.0000
0.5000 0.0000 0.5000
0.5000 0.5000 0.3082
0.5000 0.5000 0.6918
```

## Properties
Formation energy from the elements: -0.3 eV per formula unit
VASP energy: -2.25 eV/atom
Distance to the lowest polymorph of the same formula: 0.298 eV per atom
N(E_F): 1.00 states/eV per atom

=====

6.
Below is crystalline TbPr2Hg4 at its relaxed geometry, with properties calculated at the PBE-GGA level.

Structure (POSCAR):
```
TbPr2Hg4
1.0
2.5996 1.5009 9.0314
-2.5996 1.5009 9.0314
0.0000 -3.0017 9.0314
Tb Pr Hg
1 2 4
Direct
0.0000 0.0000 0.0000
0.2438 0.2438 0.2438
0.7562 0.7562 0.7562
0.1263 0.1263 0.1263
0.3700 0.3700 0.3700
0.6300 0.6300 0.6300
0.8737 0.8737 0.8737
```

## Properties
Formation energy from the elements: -2.4 eV per formula unit
VASP energy: -2.55 eV/atom
Distance to the lowest polymorph of the same formula: 0.000 eV per atom
N(E_F): 0.82 states/eV per atom

=====

7.
Below is crystalline Tb2Pr3Hg7 at its relaxed geometry, with properties calculated at the PBE-GGA level.

Structure (POSCAR):
```
Tb2Pr3Hg7
1.0
2.6113 -11.6057 0.0000
2.6113 11.6057 0.0000
0.0000 0.0000 5.6455
Tb Pr Hg
2 3 7
Direct
0.1416 0.8584 0.0000
0.8584 0.1416 0.0000
0.3280 0.6720 0.5000
0.5000 0.5000 0.5000
0.6720 0.3280 0.5000
0.0000 0.0000 0.0000
0.0877 0.9123 0.5000
0.2756 0.7244 0.0000
0.4248 0.5752 0.0000
0.5752 0.4248 0.0000
0.7244 0.2756 0.0000
0.9123 0.0877 0.5000
```

## Properties
Formation energy from the elements: -4.1 eV per formula unit
VASP energy: -2.48 eV/atom
N(E_F): 0.74 states/eV per atom

=====

8.
Below is crystalline TbPr4Hg at its relaxed geometry, with properties calculated at the PBE-GGA level.

Structure (POSCAR):
```
TbPr4Hg
1.0
3.7304 0.0000 0.0000
0.0000 3.7304 0.0000
0.0000 0.0000 14.2693
Tb Pr Hg
1 4 1
Direct
0.0000 0.0000 0.0000
0.0000 0.0000 0.3562
0.0000 0.0000 0.6438
0.5000 0.5000 0.1753
0.5000 0.5000 0.8247
0.5000 0.5000 0.5000
```

## Properties
Formation energy from the elements: -0.9 eV per formula unit
VASP energy: -4.15 eV/atom
Distance to the lowest polymorph of the same formula: 0.000 eV per atom
N(E_F): 1.37 states/eV per atom

=====

9.
Below is crystalline Tb2Pr2Hg7 at its relaxed geometry, with properties calculated at the PBE-GGA level.

Structure (POSCAR):
```
Tb2Pr2Hg7
1.0
4.9874 -5.5439 0.0000
4.9874 5.5439 0.0000
0.0000 0.0000 6.1998
Tb Pr Hg
2 2 7
Direct
0.2272 0.7728 0.0000
0.7728 0.2272 0.0000
0.3119 0.3119 0.5000
0.6881 0.6881 0.5000
0.0000 0.0000 0.2678
0.0000 0.0000 0.7322
0.0000 0.5000 0.2615
0.0000 0.5000 0.7385
0.5000 0.0000 0.2615
0.5000 0.0000 0.7385
0.5000 0.5000 0.0000
```

## Properties
Formation energy from the elements: -1.4 eV per formula unit
VASP energy: -2.03 eV/atom
N(E_F): 0.80 states/eV per atom

=====

10.
Below is crystalline Tb2Pr6Hg at its relaxed geometry, with properties calculated at the PBE-GGA level.

Structure (POSCAR):
```
Tb2Pr6Hg
1.0
9.7387 0.0000 0.0000
-4.8694 8.4340 0.0000
0.0000 0.0000 3.7298
Tb Pr Hg
2 6 1
Direct
0.3333 0.6667 0.0000
0.6667 0.3333 0.0000
0.0000 0.3786 0.5000
0.0000 0.7265 0.0000
0.2735 0.2735 0.0000
0.3786 0.0000 0.5000
0.6214 0.6214 0.5000
0.7265 0.0000 0.0000
0.0000 0.0000 0.5000
```

## Properties
Formation energy from the elements: -0.9 eV per formula unit
VASP energy: -4.34 eV/atom
N(E_F): 1.37 states/eV per atom

=====

11.
Below is crystalline Tb2PrHg at its relaxed geometry, with properties calculated at the PBE-GGA level.

Structure (POSCAR):
```
Tb2PrHg
1.0
3.6651 0.0000 0.0000
-1.8326 3.1741 0.0000
0.0000 0.0000 32.0873
Tb Pr Hg
6 3 3
Direct
0.0000 0.0000 0.2411
0.0000 0.0000 0.7589
0.3333 0.6667 0.4255
0.3333 0.6667 0.9078
0.6667 0.3333 0.0922
0.6667 0.3333 0.5745
0.0000 0.0000 0.0000
0.3333 0.6667 0.6667
0.6667 0.3333 0.3333
0.0000 0.0000 0.5000
0.3333 0.6667 0.1667
0.6667 0.3333 0.8333
```

## Properties
Formation energy from the elements: -0.7 eV per formula unit
VASP energy: -3.76 eV/atom
Distance to the lowest polymorph of the same formula: 0.062 eV per atom
N(E_F): 0.91 states/eV per atom

=====

12.
Below is crystalline TbPr2Hg at its relaxed geometry, with properties calculated at the PBE-GGA level.

Structure (POSCAR):
```
TbPr2Hg
1.0
3.7509 0.0000 0.0000
0.0000 3.7509 0.0000
0.0000 0.0000 9.0064
Tb Pr Hg
1 2 1
Direct
0.0000 0.0000 0.0000
0.5000 0.5000 0.2752
0.5000 0.5000 0.7248
0.0000 0.0000 0.5000
```

## Properties
Formation energy from the elements: -0.9 eV per formula unit
VASP energy: -3.84 eV/atom
Distance to the lowest polymorph of the same formula: 0.017 eV per atom
N(E_F): 1.21 states/eV per atom

=====

13.
Below is crystalline TbPr4Hg at its relaxed geometry, with properties calculated at the PBE-GGA level.

Structure (POSCAR):
```
TbPr4Hg
1.0
4.5485 -7.1447 0.0000
4.5485 7.1447 0.0000
-2.1678 0.0000 6.1914
Tb Pr Hg
2 8 2
Direct
0.0919 0.9081 0.7500
0.9081 0.0919 0.2500
0.1022 0.3292 0.8755
0.2112 0.5888 0.4507
0.3292 0.1022 0.3755
0.4112 0.7888 0.0493
0.5888 0.2112 0.9507
0.6708 0.8978 0.6245
0.7888 0.4112 0.5493
0.8978 0.6708 0.1245
0.4982 0.5018 0.7500
0.5018 0.4982 0.2500
```

## Properties
Formation energy from the elements: -0.3 eV per formula unit
VASP energy: -4.06 eV/atom
Distance to the lowest polymorph of the same formula: 0.092 eV per atom
N(E_F): 1.40 states/eV per atom

=====

14.
Below is crystalline Tb2Pr5Hg4 at its relaxed geometry, with properties calculated at the PBE-GGA level.

Structure (POSCAR):
```
Tb2Pr5Hg4
1.0
14.5315 -1.8932 0.0000
14.5315 1.8932 0.0000
-0.1837 0.0000 6.5304
Tb Pr Hg
2 5 4
Direct
0.2475 0.2475 0.2423
0.7525 0.7525 0.7577
0.1554 0.1554 0.5753
0.3552 0.3552 0.9307
0.5000 0.5000 0.0000
0.6448 0.6448 0.0693
0.8446 0.8446 0.4247
0.0627 0.0627 0.2704
0.4341 0.4341 0.3604
0.5659 0.5659 0.6396
0.9373 0.9373 0.7296
```

## Properties
Formation energy from the elements: -1.1 eV per formula unit
VASP energy: -3.23 eV/atom
N(E_F): 0.87 states/eV per atom

=====

15.
Below is crystalline Tb5Pr3Hg2 at its relaxed geometry, with properties calculated at the PBE-GGA level.

Structure (POSCAR):
```
Tb5Pr3Hg2
1.0
-6.9051 7.0805 3.3989
6.9051 -7.0805 3.3989
6.9051 7.0805 -3.3989
Tb Pr Hg
10 6 4
Direct
0.1790 0.0885 0.2675
0.2500 0.0188 0.7688
0.2500 0.2500 0.0000
0.2500 0.4812 0.2312
0.3210 0.5885 0.9096
0.6790 0.4115 0.0904
0.7500 0.5188 0.7688
0.7500 0.7500 0.0000
0.7500 0.9812 0.2312
0.8210 0.9115 0.7325
0.2257 0.3511 0.5768
0.2500 0.7500 0.5000
0.2743 0.8511 0.1254
0.7257 0.1489 0.8746
0.7500 0.2500 0.5000
0.7743 0.6489 0.4232
0.1265 0.6418 0.7683
0.3735 0.1418 0.5153
0.6265 0.8582 0.4847
0.8735 0.3582 0.2317
```

## Properties
Formation energy from the elements: 0.2 eV per formula unit
VASP energy: -3.79 eV/atom
N(E_F): 1.15 states/eV per atom

=====

16.
Below is crystalline Tb5PrHg6 at its relaxed geometry, with properties calculated at the PBE-GGA level.

Structure (POSCAR):
```
Tb5PrHg6
1.0
5.2886 0.0000 0.0000
0.0000 7.5626 0.0000
-2.6261 0.0000 7.9717
Tb Pr Hg
5 1 6
Direct
0.0000 0.0000 0.0000
0.3334 0.5000 0.6653
0.3364 0.0000 0.6710
0.6636 0.0000 0.3290
0.6666 0.5000 0.3347
0.0000 0.5000 0.0000
0.1696 0.2438 0.3416
0.1696 0.7562 0.3416
0.5000 0.2413 0.0000
0.5000 0.7587 0.0000
0.8304 0.2438 0.6584
0.8304 0.7562 0.6584
```

## Properties
Formation energy from the elements: -5.7 eV per formula unit
VASP energy: -2.95 eV/atom
N(E_F): 1.17 states/eV per atom

=====

17.
Below is crystalline Tb4Pr9Hg11 at its relaxed geometry, with properties calculated at the PBE-GGA level.

Structure (POSCAR):
```
Tb4Pr9Hg11
1.0
7.9744 -11.7807 0.0000
7.9744 11.7807 0.0000
0.0000 0.0000 3.6224
Tb Pr Hg
4 9 11
Direct
0.0544 0.2464 0.0000
0.2464 0.0544 0.0000
0.7536 0.9456 0.0000
0.9456 0.7536 0.0000
0.0000 0.0000 0.0000
0.1316 0.6432 0.0000
0.2922 0.4554 0.0000
0.3568 0.8684 0.0000
0.4554 0.2922 0.0000
0.5446 0.7078 0.0000
0.6432 0.1316 0.0000
0.7078 0.5446 0.0000
0.8684 0.3568 0.0000
0.0840 0.4386 0.5000
0.1377 0.8623 0.5000
0.2263 0.2263 0.5000
0.3358 0.6642 0.5000
0.4386 0.0840 0.5000
0.5000 0.5000 0.5000
0.5614 0.9160 0.5000
0.6642 0.3358 0.5000
0.7737 0.7737 0.5000
0.8623 0.1377 0.5000
0.9160 0.5614 0.5000
```

## Properties
Formation energy from the elements: -9.3 eV per formula unit
VASP energy: -3.09 eV/atom
N(E_F): 1.01 states/eV per atom

=====

18.
Below is crystalline Tb12Pr3Hg at its relaxed geometry, with properties calculated at the PBE-GGA level.

Structure (POSCAR):
```
Tb12Pr3Hg
1.0
5.0057 0.0000 0.0000
0.0000 5.0057 0.0000
0.0000 0.0000 20.2858
Tb Pr Hg
12 3 1
Direct
0.0000 0.0000 0.0000
0.0000 0.0000 0.2418
0.0000 0.0000 0.5000
0.0000 0.0000 0.7582
0.0000 0.5000 0.1183
0.0000 0.5000 0.3724
0.0000 0.5000 0.6276
0.0000 0.5000 0.8817
0.5000 0.0000 0.1183
0.5000 0.0000 0.3724
0.5000 0.0000 0.6276
0.5000 0.0000 0.8817
0.5000 0.5000 0.2463
0.5000 0.5000 0.5000
0.5000 0.5000 0.7537
0.5000 0.5000 0.0000
```

## Properties
Formation energy from the elements: -0.2 eV per formula unit
VASP energy: -4.40 eV/atom
N(E_F): 1.28 states/eV per atom

=====

19.
Below is crystalline TbPr5Hg4 at its relaxed geometry, with properties calculated at the PBE-GGA level.

Structure (POSCAR):
```
TbPr5Hg4
1.0
3.8287 0.0000 0.0000
0.0000 3.8287 0.0000
0.0000 0.0000 20.4926
Tb Pr Hg
1 5 4
Direct
0.0000 0.0000 0.0000
0.5000 0.5000 0.1187
0.5000 0.5000 0.3099
0.5000 0.5000 0.5000
0.5000 0.5000 0.6901
0.5000 0.5000 0.8813
0.0000 0.0000 0.2114
0.0000 0.0000 0.4047
0.0000 0.0000 0.5953
0.0000 0.0000 0.7886
```

## Properties
Formation energy from the elements: -3.6 eV per formula unit
VASP energy: -3.34 eV/atom
N(E_F): 1.18 states/eV per atom

=====

20.
Below is crystalline TbPr3Hg at its relaxed geometry, with properties calculated at the PBE-GGA level.

Structure (POSCAR):
```
TbPr3Hg
1.0
5.8208 -3.8479 0.0000
5.8208 3.8479 0.0000
-3.0636 0.0000 7.5896
Tb Pr Hg
2 6 2
Direct
0.0594 0.0594 0.2414
0.9406 0.9406 0.7586
0.0818 0.5901 0.3525
0.4099 0.9182 0.6475
0.4499 0.4499 0.7655
0.5501 0.5501 0.2345
0.5901 0.0818 0.3525
0.9182 0.4099 0.6475
0.2350 0.2350 0.0013
0.7650 0.7650 0.9987
```

## Properties
Formation energy from the elements: -0.4 eV per formula unit
VASP energy: -3.94 eV/atom
Distance to the lowest polymorph of the same formula: 0.091 eV per atom
N(E_F): 1.09 states/eV per atom